1.
This record from Alexandria describes a geometry-optimized ZnCo2Re structure. The functional is GGA-PBE.

Results
Space-group type: Cm, No. 8
Energy of formation: 92 meV/atom
Calculated volume: 98.8 Å³ per cell
Crystal system: monoclinic

a = 8.715 Å, b = 2.631 Å, c = 4.408 Å
α = 90.00°, β = 102.02°, γ = 90.00°
Sites, in units of the cell vectors:
Zn 0.000 0.000 0.000
Zn 0.500 0.500 0.000
Co 0.013 0.500 0.509
Co 0.248 0.000 0.817
Co 0.513 0.000 0.509
Co 0.748 0.500 0.817
Re 0.268 0.500 0.328
Re 0.768 0.000 0.328



2.
This record from Alexandria describes a geometry-optimized NaZrP2N structure. The functional is GGA-PBE.

Results
ΔE_f (raw): 1.23 eV per atom
Space-group type: P4/mmm, No. 123
Calculated volume: 166.3 Å³ per cell
Crystal system: tetragonal

a = 4.955 Å, b = 4.955 Å, c = 6.772 Å
α = 90.00°, β = 90.00°, γ = 90.00°
Sites, in units of the cell vectors:
Na 0.000 0.000 0.000
Zr 0.000 0.000 0.500
P 0.000 0.500 0.500
P 0.500 0.000 0.500
N 0.500 0.500 0.000